No. 1
VASP calculation (PBE) on a relaxed Sr3MnHg crystal.

abc: 6.1865 6.1865 6.1865
angles: 90.00 90.00 90.00
Site moments in Bohr magnetons follow the coordinates.
Positions (direct):
1 Sr 0.0000 0.5000 0.0000  -0.02
2 Sr 0.0000 0.0000 0.5000  -0.02
3 Sr 0.5000 0.0000 0.0000  -0.02
4 Mn 0.5000 0.5000 0.5000  4.33
5 Hg 0.0000 0.0000 0.0000  -0.01

**SG**: Pm-3m (221)
**Crystal system**: cubic
**Uncorrected energy**: -12.67 eV/cell
**Magnetic moment**: 0.88 μB/atom
**E_form**: 370 meV/atom


No. 2
VASP calculation (PBE) on a relaxed LiTi3Pd4 crystal.

abc: 4.7230 5.6666 9.1191
angles: 90.00 90.00 90.00
Site moments in Bohr magnetons follow the coordinates.
Positions (direct):
1 Ti 0.0000 0.0000 0.0000  0.42
2 Ti 0.0000 0.0000 0.5000  0.42
3 Ti 0.5990 0.0000 0.7500  0.45
4 Ti 0.4010 0.0000 0.2500  0.45
5 Ti 0.6180 0.5000 0.7500  0.22
6 Ti 0.3820 0.5000 0.2500  0.22
7 Pd 0.5000 0.7479 0.0000  0.01
8 Pd 0.5000 0.7479 0.5000  0.01
9 Pd 0.5000 0.2521 0.0000  0.01
10 Pd 0.5000 0.2521 0.5000  0.01
11 Pd 0.1102 0.7478 0.7500  0.01
12 Pd 0.8898 0.7478 0.2500  0.01
13 Pd 0.8898 0.2522 0.2500  0.01
14 Pd 0.1102 0.2522 0.7500  0.01
15 Li 0.0000 0.5000 0.0000  0.00
16 Li 0.0000 0.5000 0.5000  0.00

**SG**: Pmma (51)
**Crystal system**: orthorhombic
**Uncorrected energy**: -100.97 eV/cell
**Magnetic moment**: 0.17 μB/atom
**E_form**: -515 meV/atom